First-principles (GGA-PBE) data for a relaxed structure of Pr2NdAl, as listed in Alexandria via LeMat-Bulk.

As for the total magnetic moment: 0.00 μB/cell. Its distance to the lowest polymorph of the same formula is 0 meV per atom. The density of states at the Fermi level comes out at 7.658 states/eV per cell. Its formation energy is -0.17 eV per atom.

abc: 5.4233 7.1606 7.1606
angles: 120.03 90.00 90.00
Positions (direct):
Pr1 0.5000 0.1784 0.8216
Pr2 0.0000 0.3570 0.1792
Pr3 0.0000 0.8208 0.6430
Pr4 0.0000 0.8214 0.1786
Nd1 0.5000 0.6429 0.8212
Nd2 0.5000 0.1788 0.3571
Al1 0.5000 0.6665 0.3335
Al2 0.0000 0.3344 0.6656